(1)
The following is a DFT calculation (PBE) of a relaxed structure of LiPuTeO.

Results
DOS at the Fermi energy	5.9	states/eV/f.u.

Lattice parameters (Å, degrees): 4.103 4.103 9.558 90.00 90.00 90.00
Space group P4/nmm (No. 129, origin choice 2)
Unique sites:
Li (0.250, 0.750, 0.000) x2
Pu (0.250, 0.250, 0.384) x2
Te (0.250, 0.250, 0.810) x2
O (0.250, 0.750, 0.500) x2

***

(2)
The following is a DFT calculation (PBE) of a relaxed structure of LiPuTe2O8.

Lattice parameters (Å, degrees): 5.104 5.350 7.101 83.09 81.01 81.57
Space group P-1 (No. 2)
Unique sites:
Li (0.000, 0.000, 0.000) x1
Pu (0.000, 0.000, 0.500) x1
Te (0.486, 0.479, 0.228) x2
O (0.166, 0.057, 0.699) x2
O (0.223, 0.256, 0.279) x2
O (0.289, 0.705, 0.436) x2
O (0.323, 0.704, 0.032) x2

***

(3)
The following is a DFT calculation (PBE) of a relaxed structure of LiPuTeO6.

Lattice parameters (Å, degrees): 5.6066 5.6066 9.3885 90.00 90.00 120.00
Space group P-31c (No. 163)
Unique sites:
Li (0.0000, 0.0000, 0.0000) x2
Pu (0.3333, 0.6667, 0.2500) x2
Te (0.3333, 0.6667, 0.7500) x2
O (0.0141, 0.3661, 0.1365) x12

***

(4)
The following is a DFT calculation (PBE) of a relaxed structure of LiPu2TeO8.

Results
DOS at the Fermi energy	7.8	states/eV/f.u.

Lattice parameters (Å, degrees): 6.855 7.058 6.857 90.00 90.00 90.00
Space group Cmmm (No. 65)
Unique sites:
Li (0.000, 0.000, 0.000) x2
Pu (0.000, 0.500, 0.244) x4
Te (0.000, 0.000, 0.500) x2
O (0.000, 0.304, 0.500) x4
O (0.000, 0.319, 0.000) x4
O (0.203, 0.000, 0.259) x8

***

(5)
The following is a DFT calculation (PBE) of a relaxed structure of Li2PuThO6.

Results
DOS at the Fermi energy	7.4	states/eV/f.u.

Lattice parameters (Å, degrees): 5.516 6.062 9.968 90.00 123.58 90.00
Space group P2_1/c (No. 14)
Unique sites:
Li (0.237, 0.078, 0.249) x4
Pu (0.500, 0.000, 0.000) x2
Th (0.000, 0.000, 0.500) x2
O (0.125, 0.515, 0.264) x4
O (0.264, 0.175, 0.071) x4
O (0.405, 0.704, 0.062) x4

***

(6)
The following is a DFT calculation (PBE) of a relaxed structure of Li2Pu2TiO6.

Results
DOS at the Fermi energy	18.0	states/eV/f.u.

Lattice parameters (Å, degrees): 5.6422 5.6422 14.7661 90.00 90.00 120.00
Space group R-3m (No. 166, hexagonal axes)
Unique sites:
Li (0.0000, 0.0000, 0.0766) x6
Pu (0.0000, 0.0000, 0.2921) x6
Ti (0.0000, 0.0000, 0.5000) x3
O (0.0299, 0.5150, 0.2548) x18

***

(7)
The following is a DFT calculation (PBE) of a relaxed structure of LiPu2TiO8.

Results
DOS at the Fermi energy	6.6	states/eV/f.u.

Lattice parameters (Å, degrees): 6.646 6.735 6.778 90.00 90.00 90.00
Space group Cmmm (No. 65)
Unique sites:
Li (0.000, 0.000, 0.000) x2
Pu (0.000, 0.500, 0.250) x4
Ti (0.000, 0.000, 0.500) x2
O (0.000, 0.292, 0.500) x4
O (0.000, 0.312, 0.000) x4
O (0.197, 0.000, 0.277) x8

***

(8)
The following is a DFT calculation (PBE) of a relaxed structure of LiPuTi2O6.

Results
DOS at the Fermi energy	8.8	states/eV/f.u.

Lattice parameters (Å, degrees): 9.273 10.612 6.257 90.00 115.47 90.00
Space group C2/c (No. 15)
Unique sites:
Li (0.000, 0.202, 0.250) x4
Pu (0.000, 0.099, 0.750) x4
Ti (0.147, 0.417, 0.686) x8
O (0.107, 0.256, 0.597) x8
O (0.118, 0.453, 0.962) x8
O (0.129, 0.071, 0.167) x8

***

(9)
The following is a DFT calculation (PBE) of a relaxed structure of Li2PuTiO4.

Results
DOS at the Fermi energy	15.1	states/eV/f.u.

Lattice parameters (Å, degrees): 5.324 5.324 6.625 90.00 90.00 90.00
Space group I-42m (No. 121)
Unique sites:
Li (0.000, 0.500, 0.250) x4
Pu (0.000, 0.000, 0.000) x2
Ti (0.000, 0.000, 0.500) x2
O (0.209, 0.209, 0.657) x8

***

(10)
The following is a DFT calculation (PBE) of a relaxed structure of LiPuTl2O6.

Results
DOS at the Fermi energy	7.9	states/eV/f.u.

Lattice parameters (Å, degrees): 5.697 5.703 6.023 90.07 118.14 119.94
Space group P-1 (No. 2)
Unique sites:
Li (0.000, 0.000, 0.000) x1
Pu (0.000, 0.500, 0.500) x1
Tl (0.437, 0.719, 0.154) x2
O (0.104, 0.722, 0.239) x2
O (0.143, 0.864, 0.762) x2
O (0.484, 0.619, 0.762) x2

***

(11)
The following is a DFT calculation (PBE) of a relaxed structure of LiPu3Tl4O12.

Results
DOS at the Fermi energy	7.1	states/eV/f.u.

Lattice parameters (Å, degrees): 8.648 8.648 8.648 90.00 90.00 90.00
Space group Im-3m (No. 229)
Unique sites:
Li (0.000, 0.000, 0.000) x2
Pu (0.000, 0.000, 0.500) x6
Tl (0.250, 0.250, 0.250) x8
O (0.000, 0.000, 0.281) x12
O (0.000, 0.250, 0.500) x12

***

(12)
The following is a DFT calculation (PBE) of a relaxed structure of Li2PuTl3O9.

Results
DOS at the Fermi energy	6.4	states/eV/f.u.

Lattice parameters (Å, degrees): 5.6007 5.6007 7.2587 90.00 90.00 120.00
Space group P-3m1 (No. 164)
Unique sites:
Li (0.3333, 0.6667, 0.1815) x2
Pu (0.0000, 0.0000, 0.5000) x1
Tl (0.0000, 0.0000, 0.0000) x1
Tl (0.3333, 0.6667, 0.7717) x2
O (0.0000, 0.5000, 0.0000) x3
O (0.1611, 0.3223, 0.3373) x6

***

Final energy
In order: -32.0, -81.7, -64.6, -98.6, -82.5, -96.9, -109.4, -90.6, -65.9, -65.9, -152.7, -86.2
Unit: eV/f.u.
ΔE_f (raw)
In order: -1.901, -1.626, -1.717, -2.097, -2.720, -2.437, -2.604, -2.885, -2.501, -1.517, -1.943, -1.090
Unit: eV/atom